First-principles (PBE) data for Ti2Be16Ni after structural relaxation, as listed in Alexandria.

a b c (Å): 5.574 5.574 5.574
angles (deg): 83.00 83.00 83.00
Positions (direct):
Be 0.000 0.501 0.000
Be 0.707 0.999 0.291
Be 0.291 0.999 0.707
Be 0.291 0.707 0.999
Be 0.157 0.654 0.654
Be 0.347 0.347 0.840
Be 0.347 0.840 0.347
Be 0.654 0.654 0.157
Be 0.501 0.000 0.000
Be 0.999 0.291 0.707
Be 0.104 0.104 0.104
Be 0.000 0.000 0.501
Be 0.707 0.291 0.999
Be 0.654 0.157 0.654
Be 0.999 0.707 0.291
Be 0.840 0.347 0.347
Ni 0.904 0.904 0.904
Ti 0.661 0.661 0.661
Ti 0.338 0.338 0.338

Summary:
Formation energy (eV/atom): -0.250